Density functional theory data (PBE) for NaY2NbO6 after structural relaxation. Values from VASP.

Output
space-group type	R3, No. 146
calculated density	4.57	Mg/m³
formation energy without anion corrections	-286	kJ/mol of atoms

Quantum ESPRESSO input file:
```
&SYSTEM
  ibrav = 0, nat = 10, ntyp = 4
/
ATOMIC_SPECIES
Y 88.91 Y.upf
O 16.00 O.upf
Na 22.99 Na.upf
Nb 92.91 Nb.upf
CELL_PARAMETERS angstrom
-4.3241 -1.7665 -3.2577
0.7209 -4.3914 -3.5533
-2.6428 -5.2331 1.3678
ATOMIC_POSITIONS crystal
Y 0.0214 0.0214 0.9359
O 0.9619 0.5767 0.2306
Y 0.5229 0.5229 0.4312
Na 0.7981 0.7981 0.6058
O 0.6916 0.1491 0.7671
O 0.3922 0.6916 0.7671
O 0.1491 0.3922 0.7672
O 0.2309 0.9619 0.2305
O 0.5767 0.2309 0.2305
Nb 0.3169 0.3169 0.0493
```


Density functional theory data (PBE) for Na3NbZn2O6 after structural relaxation. Values from VASP.

Output
space-group type	C2/m, No. 12
calculated density	4.65	Mg/m³
formation energy without anion corrections	-177	kJ/mol of atoms

Quantum ESPRESSO input file:
```
&SYSTEM
  ibrav = 0, nat = 12, ntyp = 4
/
ATOMIC_SPECIES
Na 22.99 Na.upf
Nb 92.91 Nb.upf
O 16.00 O.upf
Zn 65.41 Zn.upf
CELL_PARAMETERS angstrom
-4.7418 -2.4537 0.9296
4.3910 -2.9490 -1.1798
1.3266 1.4745 5.3971
ATOMIC_POSITIONS crystal
Na 0.1738 0.8262 0.5000
Nb 0.0000 0.0000 0.0000
O 0.0695 0.3833 0.2087
O 0.9305 0.6167 0.7913
Na 0.5000 0.5000 0.5000
O 0.3833 0.0695 0.2087
Zn 0.6662 0.3338 0.0000
O 0.6167 0.9305 0.7913
Na 0.8262 0.1738 0.5000
Zn 0.3338 0.6662 0.0000
O 0.2435 0.2435 0.7919
O 0.7565 0.7565 0.2081
```


Density functional theory data (PBE) for Na2NbZn2O6 after structural relaxation. Values from VASP.

Output
space-group type	P-31m, No. 162
calculated density	4.40	Mg/m³
formation energy without anion corrections	-160	kJ/mol of atoms

Quantum ESPRESSO input file:
```
&SYSTEM
  ibrav = 0, nat = 11, ntyp = 4
/
ATOMIC_SPECIES
Na 22.99 Na.upf
O 16.00 O.upf
Zn 65.41 Zn.upf
Nb 92.91 Nb.upf
CELL_PARAMETERS angstrom
5.3028 0.0000 0.0000
-2.6514 4.5924 0.0000
0.0000 0.0000 5.6683
ATOMIC_POSITIONS crystal
Na 0.6667 0.3333 0.4999
O 0.6786 0.0000 0.8026
O 0.3214 0.0000 0.1974
O 0.6786 0.6786 0.1974
O 0.0000 0.6786 0.8026
O 0.3214 0.3214 0.8026
O 0.0000 0.3214 0.1974
Zn 0.6667 0.3333 0.0000
Nb 0.0000 0.0000 0.0000
Zn 0.3333 0.6667 0.0000
Na 0.3333 0.6667 0.5001
```